Zr2CuSi | PBE | relaxed

a = 7.3117 Å, b = 7.3117 Å, c = 5.8877 Å
α = 51.62°, β = 51.62°, γ = 90.00°
Positions (direct):
Cu 0.0000 0.0000 0.0000
Cu 0.7500 0.2500 0.5000
Si 0.5000 0.5000 0.0000
Si 0.2500 0.7500 0.5000
Zr 0.8750 0.8782 0.7500
Zr 0.3750 0.3718 0.7500
Zr 0.1218 0.6250 0.2500
Zr 0.6282 0.1250 0.2500

Results
Formation energy (no corrections): -66.0 meV per atom
Raw total energy: -6.72 eV per atom
Space group: I-42d, No. 122

***

ZrCu2Si2 | PBE | relaxed

a = 7.1918 Å, b = 7.1918 Å, c = 2.8373 Å
α = 90.00°, β = 90.00°, γ = 90.00°
Positions (direct):
Si 0.6461 0.1461 0.0000
Si 0.3539 0.8539 0.0000
Cu 0.6442 0.8558 0.5000
Cu 0.8558 0.3558 0.5000
Si 0.1461 0.3539 0.0000
Cu 0.3558 0.1442 0.5000
Si 0.8539 0.6461 0.0000
Zr 0.5000 0.5000 0.0000
Cu 0.1442 0.6442 0.5000
Zr 0.0000 0.0000 0.0000

Results
Formation energy (no corrections): -162.4 meV per atom
Raw total energy: -5.68 eV per atom
Space group: P4/mbm, No. 127